RbGe2Cl | PBE | relaxed

Cell: 4.288 4.288 17.063 Å, 82.78 82.78 90.00°
Element x y z (fractional)
Ge  0.521  0.125  0.250
Ge  0.229  0.625  0.250
Ge  0.375  0.479  0.750
Ge  0.875  0.771  0.750
Rb  0.000  0.000  0.000
Rb  0.750  0.250  0.500
Cl  0.500  0.500  0.000
Cl  0.250  0.750  0.500

Computed properties:
* N(E_F): 2.1 states/eV per cell
* crystal system: tetragonal
* polymorph energy (0 for the lowest one): 0.000 eV per atom
* energy: -3.33 eV per atom
* M_tot: 0.0 μB per cell


BaP2Ir | PBE | relaxed

Cell: 6.263 6.263 6.978 Å, 90.00 90.00 142.06°
Element x y z (fractional)
Ba  0.500  0.500  0.250
Ir  0.500  0.500  0.750
P  0.000  0.000  0.913
P  0.000  0.000  0.587

Computed properties:
* N(E_F): 2.4 states/eV per cell
* crystal system: orthorhombic
* energy: -5.62 eV per atom
* M_tot: 0.0 μB per cell
* energy relative to the elements: -0.217 eV per atom


TiNbRe4 | PBE | relaxed

Cell: 5.193 5.193 5.193 Å, 60.00 60.00 60.00°
Element x y z (fractional)
Re  0.625  0.625  0.124
Re  0.625  0.124  0.625
Re  0.625  0.625  0.625
Re  0.124  0.625  0.625
Nb  0.250  0.250  0.250
Ti  0.000  0.000  0.000

Computed properties:
* N(E_F): 8.8 states/eV per cell
* crystal system: cubic
* energy: -11.41 eV per atom
* M_tot: 0.0 μB per cell
* energy relative to the elements: -0.114 eV per atom


CaCu2As | PBE | relaxed

Cell: 4.647 4.647 8.782 Å, 74.66 74.66 90.00°
Element x y z (fractional)
As  0.000  0.000  0.000
As  0.750  0.250  0.500
Ca  0.500  0.500  0.000
Ca  0.250  0.750  0.500
Cu  0.841  0.125  0.250
Cu  0.909  0.625  0.250
Cu  0.375  0.159  0.750
Cu  0.875  0.091  0.750

Computed properties:
* N(E_F): 3.4 states/eV per cell
* crystal system: tetragonal
* energy: -3.95 eV per atom
* M_tot: 0.0 μB per cell
* energy relative to the elements: -0.243 eV per atom


Ti4HAu | PBE | relaxed

Cell: 4.811 5.534 7.487 Å, 111.69 108.63 90.00°
Element x y z (fractional)
Ti  0.196  0.706  0.411
Ti  0.391  0.141  0.786
Ti  0.000  0.253  0.000
Ti  0.609  0.355  0.214
Ti  0.804  0.294  0.589
Ti  0.609  0.859  0.214
Ti  0.000  0.747  0.000
Ti  0.391  0.645  0.786
H  0.294  0.582  0.163
H  0.706  0.418  0.837
Au  0.809  0.811  0.623
Au  0.191  0.189  0.377

Computed properties:
* N(E_F): 12.1 states/eV per cell
* crystal system: monoclinic
* energy: -6.58 eV per atom
* M_tot: 0.0 μB per cell


Ba2BeCl | PBE | relaxed

Cell: 6.751 6.751 5.233 Å, 89.97 89.97 34.38°
Element x y z (fractional)
Be  0.492  0.492  0.624
Ba  0.002  0.002  0.125
Ba  0.755  0.755  0.625
Cl  0.251  0.251  0.125

Computed properties:
* N(E_F): 4.2 states/eV per cell
* crystal system: monoclinic
* polymorph energy (0 for the lowest one): 0.064 eV per atom
* energy: -2.86 eV per atom
* M_tot: 0.0 μB per cell


Sr4YTi3O12 | PBE | relaxed

Cell: 7.035 7.035 7.035 Å, 109.47 109.47 109.47°
Element x y z (fractional)
Sr  0.500  0.500  0.500
Sr  0.000  0.000  0.500
Sr  0.500  0.000  0.000
Sr  0.000  0.500  0.000
Y  0.000  0.000  0.000
Ti  0.500  0.000  0.500
Ti  0.500  0.500  0.000
Ti  0.000  0.500  0.500
O  0.250  0.500  0.750
O  0.732  0.000  0.732
O  0.268  0.000  0.268
O  0.750  0.500  0.250
O  0.732  0.732  0.000
O  0.268  0.268  0.000
O  0.750  0.250  0.500
O  0.250  0.750  0.500
O  0.500  0.250  0.750
O  0.000  0.732  0.732
O  0.500  0.750  0.250
O  0.000  0.268  0.268

Computed properties:
* N(E_F): 11.6 states/eV per cell
* crystal system: cubic
* energy: -7.81 eV per atom
* M_tot: 0.0 μB per cell


Sr2YCl | PBE | relaxed

Cell: 9.134 9.134 7.546 Å, 52.75 52.75 90.00°
Element x y z (fractional)
Y  0.000  0.000  0.000
Y  0.750  0.250  0.500
Sr  0.545  0.125  0.250
Sr  0.205  0.625  0.250
Sr  0.375  0.455  0.750
Sr  0.875  0.795  0.750
Cl  0.500  0.500  0.000
Cl  0.250  0.750  0.500

Computed properties:
* N(E_F): 5.1 states/eV per cell
* crystal system: tetragonal
* polymorph energy (0 for the lowest one): 0.330 eV per atom
* energy: -3.33 eV per atom
* M_tot: 0.0 μB per cell


ReIrBr2 | PBE | relaxed

Cell: 4.344 4.344 8.637 Å, 75.43 75.43 90.00°
Element x y z (fractional)
Re  0.500  0.500  0.000
Re  0.250  0.750  0.500
Ir  0.000  0.000  0.000
Ir  0.750  0.250  0.500
Br  0.619  0.125  0.250
Br  0.131  0.625  0.250
Br  0.375  0.381  0.750
Br  0.875  0.869  0.750

Computed properties:
* N(E_F): 9.3 states/eV per cell
* crystal system: tetragonal
* polymorph energy (0 for the lowest one): 1.059 eV per atom
* energy: -4.85 eV per atom
* M_tot: 0.0 μB per cell


SmTm2Cu9 | PBE | relaxed

Cell: 5.179 5.179 8.751 Å, 72.79 72.79 60.00°
Element x y z (fractional)
Sm  0.000  0.000  0.000
Tm  0.857  0.857  0.428
Tm  0.143  0.143  0.572
Cu  0.668  0.668  0.997
Cu  0.332  0.332  0.003
Cu  0.500  0.500  0.500
Cu  0.417  0.417  0.249
Cu  0.917  0.417  0.249
Cu  0.417  0.917  0.249
Cu  0.583  0.583  0.751
Cu  0.583  0.083  0.751
Cu  0.083  0.583  0.751

Computed properties:
* N(E_F): 8.8 states/eV per cell
* crystal system: trigonal
* energy: -4.42 eV per atom
* M_tot: 0.0 μB per cell
* energy relative to the elements: -0.211 eV per atom


ZnCuPb2O6 | PBE | relaxed

Cell: 5.495 5.499 5.790 Å, 61.61 61.63 60.00°
Element x y z (fractional)
Zn  0.307  0.307  0.080
Cu  0.815  0.815  0.556
Pb  0.524  0.524  0.427
Pb  0.028  0.028  0.916
O  0.609  0.198  0.258
O  0.198  0.935  0.258
O  0.936  0.609  0.257
O  0.446  0.701  0.755
O  0.700  0.099  0.755
O  0.099  0.446  0.754

Computed properties:
* N(E_F): 3.4 states/eV per cell
* crystal system: trigonal
* energy: -5.10 eV per atom
* M_tot: 1.2 μB per cell


CrRu2Cl | PBE | relaxed

Cell: 8.870 8.870 8.870 Å, 18.05 18.05 18.05°
Element x y z (fractional)
Ru  0.005  0.005  0.005
Ru  0.259  0.259  0.259
Cl  0.483  0.483  0.483
Cr  0.753  0.753  0.753

Computed properties:
* N(E_F): 3.8 states/eV per cell
* crystal system: trigonal
* polymorph energy (0 for the lowest one): 0.013 eV per atom
* energy: -7.20 eV per atom
* M_tot: 0.4 μB per cell


CePr2Bi | PBE | relaxed

Cell: 3.698 3.698 11.314 Å, 80.59 80.59 60.00°
Element x y z (fractional)
Pr  0.248  0.248  0.257
Pr  0.752  0.752  0.743
Bi  0.500  0.500  0.500
Ce  0.000  0.000  0.000

Computed properties:
* N(E_F): 5.8 states/eV per cell
* crystal system: trigonal
* polymorph energy (0 for the lowest one): 0.247 eV per atom
* energy: -4.99 eV per atom
* M_tot: 0.6 μB per cell
* energy relative to the elements: -0.148 eV per atom


DyIrPb | PBE | relaxed

Cell: 4.624 8.323 7.037 Å, 90.00 90.00 90.00°
Element x y z (fractional)
Dy  0.250  0.819  0.479
Dy  0.750  0.319  0.021
Dy  0.250  0.681  0.979
Dy  0.750  0.181  0.521
Pb  0.750  0.928  0.161
Pb  0.750  0.572  0.661
Pb  0.250  0.072  0.839
Pb  0.250  0.428  0.339
Ir  0.750  0.604  0.248
Ir  0.750  0.896  0.748
Ir  0.250  0.104  0.252
Ir  0.250  0.396  0.752

Computed properties:
* N(E_F): 5.4 states/eV per cell
* crystal system: orthorhombic
* energy: -6.24 eV per atom
* M_tot: 0.0 μB per cell
* energy relative to the elements: -0.516 eV per atom


BaV3Se | PBE | relaxed

Cell: 4.884 4.884 4.884 Å, 90.00 90.00 90.00°
Element x y z (fractional)
Ba  0.500  0.500  0.500
Se  0.000  0.000  0.000
V  0.000  0.500  0.000
V  0.000  0.000  0.500
V  0.500  0.000  0.000

Computed properties:
* N(E_F): 11.5 states/eV per cell
* crystal system: cubic
* polymorph energy (0 for the lowest one): 0.000 eV per atom
* energy: -5.83 eV per atom
* M_tot: 7.5 μB per cell


YNiAu | PBE | relaxed

Cell: 6.998 4.033 9.999 Å, 90.00 125.28 90.00°
Element x y z (fractional)
Y  0.808  0.000  0.560
Y  0.192  0.000  0.440
Y  0.808  0.500  0.060
Y  0.192  0.500  0.940
Ni  0.835  0.000  0.865
Ni  0.165  0.000  0.135
Ni  0.835  0.500  0.365
Ni  0.165  0.500  0.635
Au  0.594  0.000  0.177
Au  0.406  0.000  0.823
Au  0.594  0.500  0.677
Au  0.406  0.500  0.323

Computed properties:
* N(E_F): 7.7 states/eV per cell
* crystal system: monoclinic
* energy: -5.79 eV per atom
* M_tot: 0.0 μB per cell
* energy relative to the elements: -0.613 eV per atom


HfFeHg2 | PBE | relaxed

Cell: 4.688 4.688 4.688 Å, 60.00 60.00 60.00°
Element x y z (fractional)
Hf  0.500  0.500  0.500
Hg  0.250  0.250  0.250
Hg  0.750  0.750  0.750
Fe  0.000  0.000  0.000

Computed properties:
* N(E_F): 7.0 states/eV per cell
* crystal system: cubic
* polymorph energy (0 for the lowest one): 0.000 eV per atom
* energy: -4.37 eV per atom
* M_tot: 0.0 μB per cell
* energy relative to the elements: 0.386 eV per atom


YTh2Zr | PBE | relaxed

Cell: 5.503 5.503 5.503 Å, 60.00 60.00 60.00°
Element x y z (fractional)
Y  0.500  0.500  0.500
Zr  0.000  0.000  0.000
Th  0.250  0.250  0.250
Th  0.750  0.750  0.750

Computed properties:
* N(E_F): 5.3 states/eV per cell
* crystal system: cubic
* polymorph energy (0 for the lowest one): 0.048 eV per atom
* energy: -7.32 eV per atom
* M_tot: 0.0 μB per cell
* energy relative to the elements: 0.141 eV per atom


BPRhCS | PBE | relaxed

Cell: 4.371 2.929 5.223 Å, 90.00 100.31 90.00°
Element x y z (fractional)
P  0.171  0.000  0.421
S  0.814  0.500  0.971
B  0.560  0.500  0.240
Rh  0.701  0.000  0.557
C  0.180  0.500  0.200

Computed properties:
* N(E_F): 1.6 states/eV per cell
* crystal system: monoclinic
* polymorph energy (0 for the lowest one): 0.249 eV per atom
* energy: -6.46 eV per atom
* M_tot: 0.0 μB per cell


Mg3ScIn | PBE | relaxed

Cell: 5.258 5.258 5.258 Å, 90.00 90.00 90.00°
Element x y z (fractional)
Sc  0.500  0.500  0.500
Mg  0.000  0.500  0.000
Mg  0.000  0.000  0.500
Mg  0.500  0.000  0.000
In  0.000  0.000  0.000

Computed properties:
* N(E_F): 6.4 states/eV per cell
* crystal system: cubic
* polymorph energy (0 for the lowest one): 0.596 eV per atom
* energy: -2.28 eV per atom
* M_tot: 0.0 μB per cell
* energy relative to the elements: 0.490 eV per atom